No. 1
SmGaPd2: relaxed, GGA-PBEsol.

## Properties
Spin magnetization ... 0.000 μB/atom
ΔH_f (0 K) ... -85 kJ per mole of atoms

Lattice parameters (Å, degrees): 7.3644 7.0611 5.5889 90.00 90.00 90.00
Closest atoms and distances in Å follow each position.
Space group Pnma (No. 62)
One atom of each set of equivalent atoms:
Sm  0.0319  0.2500  0.1444  3 Ga 2.99-3.05, 8 Pd 3.03-3.22
Ga  0.1167  0.7500  0.3539  6 Pd 2.53-2.61
Pd  0.1802  0.0524  0.5881  3 Ga 2.53-2.61, 1 Pd 2.79

No. 2
Cd3Ag: relaxed, GGA-PBEsol.

## Properties
Spin magnetization ... 0.000 μB/atom
ΔH_f (0 K) ... -2 kJ per mole of atoms

Lattice parameters (Å, degrees): 4.2385 4.2385 4.2385 90.00 90.00 90.00
Closest atoms and distances in Å follow each position.
Space group Pm-3m (No. 221)
One atom of each set of equivalent atoms:
Cd  0.0000  0.0000  0.5000  8 Cd 3.00, 4 Ag 3.00
Ag  0.5000  0.5000  0.5000  12 Cd 3.00

No. 3
Ti2TeIr: relaxed, GGA-PBEsol.

## Properties
Spin magnetization ... 0.000 μB/atom
E_form (uncorrected) ... -246.5 meV per atom

Lattice parameters (Å, degrees): 7.1781 7.1781 5.6799 90.00 90.00 90.00
Closest atoms and distances in Å follow each position.
Space group I-42d (No. 122)
One atom of each set of equivalent atoms:
Ti  0.2167  0.2500  0.1250  2 Ir 2.48
Te  0.0000  0.0000  0.5000  4 Ti 2.80, 2 Ir 2.84
Ir  0.0000  0.0000  0.0000  4 Ti 2.48

No. 4
TlReBr2: relaxed, GGA-PBEsol.

## Properties
Spin magnetization ... 1.070 μB/atom
Offset from the most stable computed form ... 0.542 eV/atom
E_form (uncorrected) ... 1040.8 meV per atom

Lattice parameters (Å, degrees): 5.4354 5.4354 3.3110 90.00 90.00 90.00
Closest atoms and distances in Å follow each position.
Space group P4/mmm (No. 123)
One atom of each set of equivalent atoms:
Tl  0.0000  0.0000  0.0000  8 Br 3.18, 2 Tl 3.31
Re  0.5000  0.5000  0.0000  8 Br 3.18, 2 Re 3.31
Br  0.0000  0.5000  0.5000  4 Re 3.18, 4 Tl 3.18, 2 Br 3.31

No. 5
InHgWI2: relaxed, GGA-PBEsol.

## Properties
Spin magnetization ... 0.003 μB/atom
E_form (uncorrected) ... 593.2 meV per atom

Lattice parameters (Å, degrees): 5.3230 5.3230 5.4686 90.00 90.00 90.00
Closest atoms and distances in Å follow each position.
Space group P4/mmm (No. 123)
One atom of each set of equivalent atoms:
In  0.0000  0.0000  0.0000  2 W 2.73
Hg  0.5000  0.5000  0.0000  4 In 3.76, 8 I 3.82
W  0.0000  0.0000  0.5000  4 I 2.66, 2 In 2.73
I  0.0000  0.5000  0.5000  2 W 2.66

No. 6
K2MnBe: relaxed, GGA-PBEsol.

## Properties
Spin magnetization ... 0.797 μB/atom
ΔH_f (0 K) ... 71 kJ per mole of atoms

Lattice parameters (Å, degrees): 3.0846 3.5708 9.9103 90.00 90.00 90.00
Closest atoms and distances in Å follow each position.
Space group Pmm2 (No. 25)
One atom of each set of equivalent atoms:
K  0.0000  0.0000  0.0000  1 Mn 3.05, 2 K 3.08
K  0.5000  0.5000  0.4131  2 K 3.08, 1 Be 3.12
Mn  0.0000  0.0000  0.6923  4 Be 2.39
Be  0.5000  0.5000  0.7280  4 Mn 2.39

No. 7
SrMn2Si: relaxed, GGA-PBEsol.

## Properties
Spin magnetization ... 0.618 μB/atom
E_form (uncorrected) ... 249.9 meV per atom

Lattice parameters (Å, degrees): 2.9567 2.9567 7.4300 90.00 90.00 90.00
Closest atoms and distances in Å follow each position.
Space group P4mm (No. 99)
One atom of each set of equivalent atoms:
Sr  0.0000  0.0000  0.0000  4 Sr 2.96, 4 Si 3.13, 4 Mn 3.31
Mn  0.0000  0.0000  0.5070  4 Mn 2.41, 4 Si 2.48
Mn  0.5000  0.5000  0.3450  4 Mn 2.41, 1 Si 2.54
Si  0.5000  0.5000  0.6869  5 Mn 2.48-2.54

No. 8
ReOs: relaxed, GGA-PBEsol.

## Properties
Spin magnetization ... 0.000 μB/atom
Offset from the most stable computed form ... 0.578 eV/atom
ΔH_f (0 K) ... 47 kJ per mole of atoms

Lattice parameters (Å, degrees): 2.7269 4.3264 10.5266 90.00 90.00 90.00
Closest atoms and distances in Å follow each position.
Space group Imma (No. 74)
One atom of each set of equivalent atoms:
Re  0.0000  0.2500  0.1433  4 Re 2.63-2.73, 6 Os 2.65-2.70
Os  0.0000  0.2500  0.5783  6 Re 2.65-2.70, 4 Os 2.72-2.73

No. 9
CdTeMo2: relaxed, GGA-PBEsol.

## Properties
Spin magnetization ... 0.000 μB/atom
Offset from the most stable computed form ... 0.075 eV/atom
E_form (uncorrected) ... 473.1 meV per atom

Lattice parameters (Å, degrees): 9.9662 3.2532 4.9165 90.00 111.67 90.00
Closest atoms and distances in Å follow each position.
Space group Cm (No. 8)
One atom of each set of equivalent atoms:
Cd  0.0000  0.0000  0.0000  7 Mo 2.81-2.99
Te  0.2831  0.5000  0.3431  7 Mo 2.83-3.06, 3 Cd 3.15
Mo  0.0494  0.5000  0.5384  2 Mo 2.52
Mo  0.2407  0.0000  0.8334  2 Mo 2.52, 1 Cd 2.81

No. 10
InAg3: relaxed, GGA-PBEsol.

## Properties
Spin magnetization ... 0.000 μB/atom
ΔH_f (0 K) ... -6 kJ per mole of atoms

Lattice parameters (Å, degrees): 4.1178 4.1178 16.6108 90.00 90.00 90.00
Closest atoms and distances in Å follow each position.
Space group I4/mmm (No. 139)
One atom of each set of equivalent atoms:
In  0.0000  0.0000  0.1261  12 Ag 2.91-2.94
Ag  0.0000  0.0000  0.3764  8 Ag 2.91-2.94, 4 In 2.91
Ag  0.0000  0.5000  0.0000  8 Ag 2.91, 4 In 2.94
Ag  0.0000  0.5000  0.2500  4 In 2.91, 8 Ag 2.91-2.94

No. 11
La2MgRu: relaxed, GGA-PBEsol.

## Properties
Spin magnetization ... 0.000 μB/atom
ΔH_f (0 K) ... 6 kJ per mole of atoms

Lattice parameters (Å, degrees): 3.3709 3.3709 8.9181 90.00 90.00 90.00
Closest atoms and distances in Å follow each position.
Space group P4mm (No. 99)
One atom of each set of equivalent atoms:
La  0.0000  0.0000  0.0000  4 Ru 2.90, 1 Mg 3.14
La  0.5000  0.5000  0.3644  4 La 3.37, 4 Mg 3.48
Mg  0.0000  0.0000  0.6485  4 Ru 2.81, 1 La 3.14
Ru  0.5000  0.5000  0.8152  4 Mg 2.81, 4 La 2.90

No. 12
K2MgCo: relaxed, GGA-PBEsol.

## Properties
Spin magnetization ... 0.356 μB/atom
ΔH_f (0 K) ... 90 kJ per mole of atoms

Lattice parameters (Å, degrees): 4.5803 4.6310 5.4686 90.00 90.00 90.00
Closest atoms and distances in Å follow each position.
Space group Pmmm (No. 47)
One atom of each set of equivalent atoms:
K  0.0000  0.0000  0.0000  4 K 3.26, 4 Co 3.57, 4 Mg 3.58
K  0.5000  0.5000  0.0000  4 K 3.26, 4 Mg 3.57, 4 Co 3.58
Mg  0.0000  0.5000  0.5000  4 Co 3.26, 8 K 3.57-3.58
Co  0.5000  0.0000  0.5000  4 Mg 3.26, 8 K 3.57-3.58

The following theoretical density values (in g/cm3) correspond, in order, to the records above: 9.9; 9.7; 9.4; 9.3; 8.1; 2.2; 5.8; 20.1; 9.7; 10.3; 6.6; 2.3.